The following is a DFT calculation (GGA-PBE) of crystalline NdP2Rh at its relaxed geometry.

The value obtained for the energy above the lowest structure with this stoichiometry is 4 meV/atom. Its formation energy is -1.024 eV per atom. Its volume is 19.3 Å³/atom. The calculation puts the total magnetization at 0.000 μB/cell.

It has space group F222 (No. 22), with a = 5.6424 Å, b = 5.6512 Å, c = 9.6762 Å, α = 90.00°, β = 90.00° and γ = 90.00°. The inequivalent atoms are Nd at (0.0000, 0.0000, 0.0000), P at (0.0000, 0.0000, 0.3800) and Rh at (0.2500, 0.2500, 0.2500).